Compound: Hf3VOs
Source: Alexandria
Functional: PBE-GGA
Structure: relaxed

Cell and atoms, written as CIF:
```
data_Hf3VOs
_space_group_name_H-M_alt 'P m -3 m'
_space_group_IT_number 221
_space_group_name_Hall '-P 4 2 3'
_cell_length_a 4.700
_cell_length_b 4.700
_cell_length_c 4.700
_cell_angle_alpha 90.00
_cell_angle_beta 90.00
_cell_angle_gamma 90.00
loop_
_atom_site_label
_atom_site_type_symbol
_atom_site_fract_x
_atom_site_fract_y
_atom_site_fract_z
Hf1 Hf 0.000 0.000 0.500
V1 V 0.000 0.000 0.000
Os1 Os 0.500 0.500 0.500
```

## Properties
**Formation enthalpy at 0 K**: 1.036 eV per atom
**Distance to the lowest polymorph of the same formula**: 338 meV per atom
**V**: 103.85 Å³/cell
**Total magnetization**: 0.00 μB/f.u.



Compound: Ta2BeAsI
Source: Alexandria
Functional: PBE-GGA
Structure: relaxed

Cell and atoms, written as CIF:
```
data_Ta2BeAsI
_space_group_name_H-M_alt 'P 4/m m m'
_space_group_IT_number 123
_space_group_name_Hall '-P 4 2'
_cell_length_a 4.758
_cell_length_b 4.758
_cell_length_c 3.927
_cell_angle_alpha 90.00
_cell_angle_beta 90.00
_cell_angle_gamma 90.00
loop_
_atom_site_label
_atom_site_type_symbol
_atom_site_fract_x
_atom_site_fract_y
_atom_site_fract_z
Ta1 Ta 0.000 0.500 0.000
Be1 Be 0.000 0.000 0.000
As1 As 0.000 0.000 0.500
I1 I 0.500 0.500 0.500
```

## Properties
**Raw formation energy**: 3.95 eV per formula unit
**V**: 88.87 Å³/cell
**Total magnetization**: 0.00 μB/f.u.



Compound: Rb2AlGe2
Source: Alexandria
Functional: PBE-GGA
Structure: relaxed

Cell and atoms, written as CIF:
```
data_Rb2AlGe2
_space_group_name_H-M_alt 'P 4/m b m'
_space_group_IT_number 127
_space_group_name_Hall '-P 4 2ab'
_cell_length_a 6.975
_cell_length_b 6.975
_cell_length_c 6.013
_cell_angle_alpha 90.00
_cell_angle_beta 90.00
_cell_angle_gamma 90.00
loop_
_atom_site_label
_atom_site_type_symbol
_atom_site_fract_x
_atom_site_fract_y
_atom_site_fract_z
Rb1 Rb 0.179 0.321 0.000
Al1 Al 0.000 0.000 0.500
Ge1 Ge 0.130 0.630 0.500
```

## Properties
**Formation enthalpy at 0 K**: 0.100 eV per atom
**V**: 292.52 Å³/cell
**Total magnetization**: 0.00 μB/f.u.